(1)
## BaCdAsF (PBEsol)

Data for a relaxed structure of BaCdAsF.

Cell: 4.389 4.389 9.490 Å, 90.00 90.00 90.00°
Sites, in units of the cell vectors:
1 F 0.000 0.000 0.000
2 As 0.500 0.000 0.678
3 Cd 0.500 0.500 0.500
4 Ba 0.500 0.000 0.156
5 F 0.500 0.500 0.000
6 Ba 0.000 0.500 0.844
7 As 0.000 0.500 0.322
8 Cd 0.000 0.000 0.500

Output
As for the formation energy (no corrections): -7.45 eV/f.u. As for the symmetry: No. 129.

=====

(2)
## Sr2HgRh (PBEsol)

Data for a relaxed structure of Sr2HgRh.

Cell: 3.669 3.669 7.680 Å, 90.00 90.00 90.00°
Sites, in units of the cell vectors:
1 Rh 0.500 0.500 0.500
2 Sr 0.000 0.000 0.278
3 Sr 0.000 0.000 0.722
4 Hg 0.500 0.500 0.000

Output
Its energy of formation is -0.2745 eV/atom. As for the symmetry: No. 123.

=====

(3)
## Sr3CaSi8 (PBEsol)

Data for a relaxed structure of Sr3CaSi8.

Cell: 6.453 6.453 6.453 Å, 89.69 89.69 89.69°
Sites, in units of the cell vectors:
1 Si 0.206 0.206 0.206
2 Ca 0.500 0.500 0.500
3 Sr 0.000 0.250 0.750
4 Si 0.794 0.794 0.794
5 Si 0.052 0.698 0.548
6 Si 0.548 0.052 0.698
7 Si 0.948 0.452 0.302
8 Si 0.698 0.548 0.052
9 Si 0.452 0.302 0.948
10 Sr 0.750 0.000 0.250
11 Si 0.302 0.948 0.452
12 Sr 0.250 0.750 0.000

Output
As for the formation energy (no corrections): -4.80 eV/f.u. As for the symmetry: No. 155.

=====

(4)
## Tl2GaN (PBEsol)

Data for a relaxed structure of Tl2GaN.

Cell: 4.817 4.817 4.817 Å, 60.00 60.00 60.00°
Sites, in units of the cell vectors:
1 Tl 0.750 0.750 0.750
2 N 0.000 0.000 0.000
3 Tl 0.250 0.250 0.250
4 Ga 0.500 0.500 0.500

Output
As for the formation energy (no corrections): 3.81 eV/f.u. As for the symmetry: No. 225.

=====

(5)
## POsW2 (PBEsol)

Data for a relaxed structure of POsW2.

Cell: 2.895 4.371 5.178 Å, 114.97 106.23 90.00°
Sites, in units of the cell vectors:
1 Os 0.468 0.468 0.935
2 W 0.036 0.036 0.072
3 W 0.240 0.740 0.479
4 P 0.756 0.256 0.513

Output
Its energy of formation is -0.0855 eV/atom. As for the symmetry: No. 44.

=====

(6)
## Cu2WSe (PBEsol)

Data for a relaxed structure of Cu2WSe.

Cell: 2.796 2.796 8.659 Å, 80.71 80.71 60.00°
Sites, in units of the cell vectors:
1 W 0.000 0.000 0.000
2 Cu 0.250 0.250 0.251
3 Cu 0.750 0.750 0.749
4 Se 0.500 0.500 0.500

Output
As for the formation energy (no corrections): 1.62 eV/f.u. As for the symmetry: No. 166.

=====

(7)
## MnMoN2 (PBEsol)

Data for a relaxed structure of MnMoN2.

Cell: 2.819 2.819 10.496 Å, 90.00 90.00 120.00°
Sites, in units of the cell vectors:
1 Mo 0.000 0.000 0.250
2 Mn 0.000 0.000 0.500
3 N 0.667 0.333 0.620
4 N 0.333 0.667 0.120
5 Mn 0.000 0.000 0.000
6 N 0.667 0.333 0.880
7 N 0.333 0.667 0.380
8 Mo 0.000 0.000 0.750

Output
As for the formation energy (no corrections): -2.25 eV/f.u. As for the symmetry: No. 194.

=====

(8)
## AlGaIrO2 (PBEsol)

Data for a relaxed structure of AlGaIrO2.

Cell: 3.546 3.546 6.776 Å, 90.00 90.00 90.00°
Sites, in units of the cell vectors:
1 Al 0.000 0.000 0.500
2 O 0.500 0.000 0.000
3 O 0.000 0.500 0.000
4 Ga 0.000 0.000 0.000
5 Ir 0.500 0.500 0.500

Output
As for the formation energy (no corrections): 0.30 eV/f.u. As for the symmetry: No. 123.

=====

(9)
## Ca3Zn (PBEsol)

Data for a relaxed structure of Ca3Zn.

Cell: 3.700 3.700 9.251 Å, 90.00 90.00 90.00°
Sites, in units of the cell vectors:
1 Zn 0.500 0.500 0.000
2 Ca 0.500 0.500 0.500
3 Ca 0.000 0.000 0.187
4 Ca 0.000 0.000 0.813

Output
Its energy of formation is -0.1107 eV/atom. As for the symmetry: No. 123.

=====

(10)
## Ca2AlAg (PBEsol)

Data for a relaxed structure of Ca2AlAg.

Cell: 3.603 5.211 5.213 Å, 90.00 90.00 90.00°
Sites, in units of the cell vectors:
1 Al 0.500 0.500 0.124
2 Ag 0.500 0.000 0.626
3 Ca 0.000 0.000 0.126
4 Ca 0.000 0.500 0.624

Output
Its energy of formation is -0.2214 eV/atom. As for the symmetry: No. 25.

=====

(11)
## SrLa2ZnSe (PBEsol)

Data for a relaxed structure of SrLa2ZnSe.

Cell: 5.623 5.623 5.690 Å, 90.00 90.00 90.00°
Sites, in units of the cell vectors:
1 Zn 0.500 0.500 0.500
2 La 0.000 0.500 0.000
3 Sr 0.000 0.000 0.500
4 Se 0.000 0.000 0.000
5 La 0.500 0.000 0.000

Output
As for the formation energy (no corrections): -2.00 eV/f.u. As for the symmetry: No. 123.

=====

(12)
## LiCo2O4 (PBEsol)

Data for a relaxed structure of LiCo2O4.

Cell: 2.797 4.802 5.006 Å, 109.31 90.00 90.00°
Sites, in units of the cell vectors:
1 O 0.500 0.240 0.707
2 O 0.000 0.733 0.700
3 Co 0.000 0.000 0.500
4 O 0.500 0.760 0.293
5 Li 0.000 0.500 0.000
6 O 0.000 0.267 0.300
7 Co 0.500 0.500 0.500

Output
As for the formation energy (no corrections): -9.09 eV/f.u. As for the symmetry: No. 10.

=====

(13)
## LiCuAs2 (PBEsol)

Data for a relaxed structure of LiCuAs2.

Cell: 2.676 4.723 4.939 Å, 90.00 90.09 90.00°
Sites, in units of the cell vectors:
1 Li 0.254 0.500 0.213
2 As 0.753 0.500 0.704
3 As 0.753 0.000 0.047
4 Cu 0.740 0.000 0.536

Output
Its energy of formation is -0.1235 eV/atom. As for the symmetry: No. 6.

=====

(14)
## LiHgAu2 (PBEsol)

Data for a relaxed structure of LiHgAu2.

Cell: 3.480 3.480 5.718 Å, 90.00 90.00 90.00°
Sites, in units of the cell vectors:
1 Au 0.500 0.500 0.238
2 Au 0.000 0.000 0.990
3 Li 0.500 0.500 0.765
4 Hg 0.000 0.000 0.506

Output
Its energy of formation is -0.2554 eV/atom. As for the symmetry: No. 99.

=====

(15)
## EuMgF4 (PBEsol)

Data for a relaxed structure of EuMgF4.

Cell: 4.027 5.498 7.596 Å, 90.00 105.37 90.00°
Sites, in units of the cell vectors:
1 Eu 0.334 0.250 0.668
2 F 0.397 0.750 0.794
3 F 0.000 0.000 0.000
4 F 0.189 0.499 0.377
5 Eu 0.666 0.750 0.332
6 F 0.811 0.999 0.623
7 Mg 0.090 0.250 0.180
8 F 0.189 0.001 0.377
9 F 0.000 0.500 0.000
10 F 0.603 0.250 0.206
11 Mg 0.910 0.750 0.820
12 F 0.811 0.501 0.623

Output
As for the formation energy (no corrections): -21.65 eV/f.u. As for the symmetry: No. 63.

=====

(16)
## SrSCl2O (PBEsol)

Data for a relaxed structure of SrSCl2O.

Cell: 5.540 5.540 6.058 Å, 90.00 90.00 90.00°
Sites, in units of the cell vectors:
1 O 0.500 0.500 0.500
2 Cl 0.500 0.000 0.000
3 S 0.000 0.000 0.500
4 Cl 0.000 0.500 0.000
5 Sr 0.000 0.000 0.000

Output
As for the formation energy (no corrections): -0.24 eV/f.u. As for the symmetry: No. 123.

=====

(17)
## KBeW (PBEsol)

Data for a relaxed structure of KBeW.

Cell: 2.777 2.777 7.998 Å, 90.00 90.00 120.00°
Sites, in units of the cell vectors:
1 K 0.333 0.667 0.673
2 Be 0.000 0.000 0.039
3 W 0.667 0.333 0.288

Output
Its energy of formation is 1.1516 eV/atom. As for the symmetry: No. 156.

=====

(18)
## GaBiN2F (PBEsol)

Data for a relaxed structure of GaBiN2F.

Cell: 4.324 4.324 4.429 Å, 90.00 90.00 90.00°
Sites, in units of the cell vectors:
1 F 0.000 0.000 0.500
2 N 0.500 0.000 0.000
3 N 0.000 0.500 0.000
4 Ga 0.500 0.500 0.500
5 Bi 0.000 0.000 0.000

Output
As for the formation energy (no corrections): 3.20 eV/f.u. As for the symmetry: No. 123.

=====

(19)
## CaMo2Br (PBEsol)

Data for a relaxed structure of CaMo2Br.

Cell: 3.011 3.011 9.639 Å, 81.01 81.01 60.00°
Sites, in units of the cell vectors:
1 Mo 0.240 0.240 0.279
2 Br 0.500 0.500 0.500
3 Ca 0.000 0.000 0.000
4 Mo 0.760 0.760 0.721

Output
As for the formation energy (no corrections): 3.63 eV/f.u. As for the symmetry: No. 166.

=====

(20)
## K2Rh (PBEsol)

Data for a relaxed structure of K2Rh.

Cell: 2.872 5.602 9.397 Å, 90.00 98.79 90.00°
Sites, in units of the cell vectors:
1 K 0.213 0.250 0.426
2 K 0.458 0.750 0.916
3 K 0.787 0.750 0.574
4 K 0.542 0.250 0.084
5 Rh 0.876 0.250 0.752
6 Rh 0.124 0.750 0.248

Output
Its energy of formation is 0.7682 eV/atom. As for the symmetry: No. 63.

=====

(21)
## CaScPt2 (PBEsol)

Data for a relaxed structure of CaScPt2.

Cell: 3.282 3.282 6.953 Å, 90.00 90.00 90.00°
Sites, in units of the cell vectors:
1 Pt 0.000 0.000 0.033
2 Pt 0.000 0.000 0.467
3 Ca 0.500 0.500 0.750
4 Sc 0.500 0.500 0.250

Output
Its energy of formation is -1.0388 eV/atom. As for the symmetry: No. 123.

=====

(22)
## KSiN2F (PBEsol)

Data for a relaxed structure of KSiN2F.

Cell: 3.487 3.487 4.713 Å, 90.00 90.00 90.00°
Sites, in units of the cell vectors:
1 N 0.000 0.500 0.000
2 Si 0.000 0.000 0.000
3 K 0.500 0.500 0.500
4 N 0.500 0.000 0.000
5 F 0.000 0.000 0.500

Output
As for the formation energy (no corrections): -3.92 eV/f.u. As for the symmetry: No. 123.

=====

(23)
## BeWCl2 (PBEsol)

Data for a relaxed structure of BeWCl2.

Cell: 2.953 3.266 7.362 Å, 97.26 90.00 90.00°
Sites, in units of the cell vectors:
1 Cl 0.500 0.594 0.314
2 W 0.000 0.694 0.567
3 Be 0.500 0.224 0.724
4 Cl 0.000 0.989 0.894

Output
As for the formation energy (no corrections): -0.66 eV/f.u. As for the symmetry: No. 6.

=====

(24)
## InRu2Se (PBEsol)

Data for a relaxed structure of InRu2Se.

Cell: 2.991 5.077 5.185 Å, 119.31 106.77 90.00°
Sites, in units of the cell vectors:
1 Ru 0.774 0.774 0.549
2 Ru 0.226 0.226 0.451
3 Se 0.500 0.000 0.000
4 In 0.000 0.500 0.000

Output
As for the formation energy (no corrections): 1.53 eV/f.u. As for the symmetry: No. 71.

=====

(25)
## KLiTa2 (PBEsol)

Data for a relaxed structure of KLiTa2.

Cell: 2.897 4.885 6.605 Å, 109.67 99.40 98.70°
Sites, in units of the cell vectors:
1 Ta 0.500 0.500 0.500
2 Li 0.000 0.500 0.000
3 Ta 0.000 0.000 0.500
4 K 0.500 0.000 0.000

Output
Its energy of formation is 0.9630 eV/atom. As for the symmetry: No. 12.

=====

(26)
## Zn2TcAu (PBEsol)

Data for a relaxed structure of Zn2TcAu.

Cell: 3.487 4.049 4.049 Å, 90.00 90.00 90.00°
Sites, in units of the cell vectors:
1 Zn 0.000 0.500 0.000
2 Zn 0.000 0.000 0.500
3 Tc 0.500 0.000 0.000
4 Au 0.500 0.500 0.500

Output
Its energy of formation is -0.0051 eV/atom. As for the symmetry: No. 123.

=====

(27)
## ZnFeMo2 (PBEsol)

Data for a relaxed structure of ZnFeMo2.

Cell: 4.260 4.260 4.260 Å, 60.00 60.00 60.00°
Sites, in units of the cell vectors:
1 Zn 0.250 0.250 0.250
2 Mo 0.750 0.750 0.750
3 Mo 0.000 0.000 0.000
4 Fe 0.500 0.500 0.500

Output
Its energy of formation is 0.2703 eV/atom. As for the symmetry: No. 216.

=====

(28)
## LaCdSeBr2 (PBEsol)

Data for a relaxed structure of LaCdSeBr2.

Cell: 5.708 5.708 5.822 Å, 90.00 90.00 90.00°
Sites, in units of the cell vectors:
1 La 0.000 0.000 0.000
2 Cd 0.500 0.500 0.500
3 Br 0.500 0.000 0.000
4 Se 0.000 0.000 0.500
5 Br 0.000 0.500 0.000

Output
As for the formation energy (no corrections): -4.74 eV/f.u. As for the symmetry: No. 123.

=====

(29)
## ZrMn2Cu (PBEsol)

Data for a relaxed structure of ZrMn2Cu.

Cell: 2.943 3.360 5.746 Å, 90.00 90.00 90.00°
Sites, in units of the cell vectors:
1 Mn 0.000 0.000 0.274
2 Zr 0.500 0.500 0.000
3 Mn 0.000 0.000 0.726
4 Cu 0.500 0.500 0.500

Output
Its energy of formation is 0.2243 eV/atom. As for the symmetry: No. 47.